{
  "formula": "NaIn2Pt2",
  "functional": "GGA-PBE",
  "state": "optimized geometry",
  "e_above_lowest_polymorph_ev_per_atom": 0.098,
  "energy_ev_per_cell": -20.7,
  "sg": "I4/mmm",
  "lattice_angstrom": [[-2.233, 2.233, 5.731], [2.233, -2.233, 5.731], [2.233, 2.233, -5.731]],
  "species": ["In", "In", "Na", "Pt", "Pt"],
  "frac_coords": [[0.750, 0.250, 0.500], [0.250, 0.750, 0.500], [0.000, 0.000, 0.000], [0.387, 0.387, 0.000], [0.613, 0.613, 0.000]]
}



{
  "formula": "ScZn2Hg",
  "functional": "GGA-PBE",
  "state": "optimized geometry",
  "energy_ev_per_cell": -10.1,
  "sg": "F-43m",
  "e_form_ev_per_atom": -0.24,
  "lattice_angstrom": [[-3.594, -2.982, -0.100], [-3.567, 0.739, -2.924], [-0.612, -2.797, -3.691]],
  "species": ["Hg", "Sc", "Zn", "Zn"],
  "frac_coords": [[0.000, 0.000, 0.000], [0.250, 0.250, 0.250], [0.500, 0.500, 0.500], [0.750, 0.750, 0.750]]
}



{
  "formula": "ZrScGa2Cu4",
  "functional": "GGA-PBE",
  "state": "optimized geometry",
  "energy_ev_per_cell": -38.6,
  "sg": "P-6m2",
  "lattice_angstrom": [[4.194, 0.000, 0.000], [-2.097, 3.632, 0.000], [0.000, 0.000, 8.060]],
  "species": ["Cu", "Cu", "Cu", "Cu", "Ga", "Ga", "Sc", "Zr"],
  "frac_coords": [[0.333, 0.667, 0.159], [0.000, 0.000, 0.338], [0.000, 0.000, 0.662], [0.333, 0.667, 0.841], [0.667, 0.333, 0.259], [0.667, 0.333, 0.741], [0.000, 0.000, 0.000], [0.333, 0.667, 0.500]]
}



{
  "formula": "NdScHg",
  "functional": "GGA-PBE",
  "state": "optimized geometry",
  "e_above_lowest_polymorph_ev_per_atom": 0.000,
  "energy_ev_per_cell": -11.6,
  "sg": "F-43m",
  "e_form_ev_per_atom": -0.06,
  "lattice_angstrom": [[2.337, -4.214, 1.468], [-2.696, -4.040, 1.336], [-0.063, -4.076, -2.959]],
  "species": ["Hg", "Nd", "Sc"],
  "frac_coords": [[0.000, 0.000, 0.000], [0.250, 0.250, 0.250], [0.750, 0.750, 0.750]]
}



{
  "formula": "NbGe2Mo2",
  "functional": "GGA-PBE",
  "state": "optimized geometry",
  "e_above_lowest_polymorph_ev_per_atom": 0.212,
  "energy_ev_per_cell": -38.8,
  "sg": "I4/mmm",
  "lattice_angstrom": [[-1.506, -5.056, 0.424], [0.794, -1.178, 5.098], [-2.668, 4.076, -2.068]],
  "species": ["Ge", "Ge", "Mo", "Mo", "Nb"],
  "frac_coords": [[0.750, 0.250, 0.500], [0.250, 0.750, 0.500], [0.365, 0.365, 0.000], [0.635, 0.635, 0.000], [0.000, 0.000, 0.000]]
}



{
  "formula": "LiBe2Ir",
  "functional": "GGA-PBE",
  "state": "optimized geometry",
  "energy_ev_per_cell": -35.2,
  "sg": "P6_3/mmc",
  "lattice_angstrom": [[-2.884, -2.410, -1.151], [2.637, -1.216, 2.649], [-3.620, 2.141, 4.586]],
  "species": ["Be", "Be", "Be", "Be", "Ir", "Ir", "Li", "Li"],
  "frac_coords": [[0.333, 0.667, 0.088], [0.333, 0.667, 0.412], [0.667, 0.333, 0.588], [0.667, 0.333, 0.912], [0.000, 0.000, 0.250], [0.000, 0.000, 0.750], [0.667, 0.333, 0.250], [0.333, 0.667, 0.750]]
}



{
  "formula": "LuScFeSb",
  "functional": "GGA-PBE",
  "state": "optimized geometry",
  "e_above_lowest_polymorph_ev_per_atom": 0.000,
  "energy_ev_per_cell": -23.6,
  "sg": "F-43m",
  "lattice_angstrom": [[0.000, 3.347, 3.347], [3.347, 0.000, 3.347], [3.347, 3.347, 0.000]],
  "species": ["Fe", "Lu", "Sb", "Sc"],
  "frac_coords": [[0.750, 0.750, 0.750], [0.500, 0.500, 0.500], [0.000, 0.000, 0.000], [0.250, 0.250, 0.250]]
}



{
  "formula": "TmNbPt",
  "functional": "GGA-PBE",
  "state": "optimized geometry",
  "e_above_lowest_polymorph_ev_per_atom": 0.825,
  "energy_ev_per_cell": -19.0,
  "sg": "F-43m",
  "e_form_ev_per_atom": 0.55,
  "lattice_angstrom": [[0.000, 3.247, 3.247], [3.247, 0.000, 3.247], [3.247, 3.247, 0.000]],
  "species": ["Nb", "Pt", "Tm"],
  "frac_coords": [[0.250, 0.250, 0.250], [0.750, 0.750, 0.750], [0.000, 0.000, 0.000]]
}



{
  "formula": "La2AgPd",
  "functional": "GGA-PBE",
  "state": "optimized geometry",
  "energy_ev_per_cell": -20.0,
  "sg": "Amm2",
  "e_form_ev_per_atom": -0.53,
  "lattice_angstrom": [[4.779, 0.000, 0.000], [0.000, 2.000, 5.647], [0.000, -2.000, 5.647]],
  "species": ["Ag", "La", "La", "Pd"],
  "frac_coords": [[0.000, 0.583, 0.583], [0.500, 0.138, 0.138], [0.000, 0.865, 0.865], [0.500, 0.414, 0.414]]
}



{
  "formula": "HfZn2Pd",
  "functional": "GGA-PBE",
  "state": "optimized geometry",
  "energy_ev_per_cell": -19.3,
  "sg": "F-43m",
  "e_form_ev_per_atom": -0.42,
  "lattice_angstrom": [[0.000, 3.177, 3.177], [3.177, 0.000, 3.177], [3.177, 3.177, 0.000]],
  "species": ["Hf", "Pd", "Zn", "Zn"],
  "frac_coords": [[0.500, 0.500, 0.500], [0.750, 0.750, 0.750], [0.000, 0.000, 0.000], [0.250, 0.250, 0.250]]
}



{
  "formula": "HoCdInTe3",
  "functional": "GGA-PBE",
  "state": "optimized geometry",
  "e_above_lowest_polymorph_ev_per_atom": 0.000,
  "energy_ev_per_cell": -44.3,
  "sg": "Cmcm",
  "lattice_angstrom": [[5.836, 2.578, 4.725], [-6.589, -4.368, -0.732], [6.437, -9.221, -2.920]],
  "species": ["Cd", "Cd", "Ho", "Ho", "In", "In", "Te", "Te", "Te", "Te", "Te", "Te"],
  "frac_coords": [[0.037, 0.963, 0.250], [0.963, 0.037, 0.750], [0.500, 0.500, 0.000], [0.500, 0.500, 0.500], [0.741, 0.259, 0.250], [0.259, 0.741, 0.750], [0.139, 0.861, 0.048], [0.417, 0.583, 0.250], [0.139, 0.861, 0.452], [0.861, 0.139, 0.548], [0.583, 0.417, 0.750], [0.861, 0.139, 0.952]]
}



{
  "formula": "HfMgFeAs",
  "functional": "GGA-PBE",
  "state": "optimized geometry",
  "e_above_lowest_polymorph_ev_per_atom": 0.000,
  "energy_ev_per_cell": -24.1,
  "sg": "F-43m",
  "lattice_angstrom": [[0.000, 3.171, 3.171], [3.171, 0.000, 3.171], [3.171, 3.171, 0.000]],
  "species": ["As", "Fe", "Hf", "Mg"],
  "frac_coords": [[0.000, 0.000, 0.000], [0.750, 0.750, 0.750], [0.500, 0.500, 0.500], [0.250, 0.250, 0.250]]
}